Entry 1:
GGA-PBE Ac3MgHg4, relaxed; calculated formation energy = -0.43 eV per atom; polymorph energy (0 for the lowest one) = 0.0 meV per atom; SG = R-3m; theoretical density = 10.12 g/cm3; total energy = -2.325 eV/atom; magnetic moment = 0.000 μB/cell
1.0
2.755 1.590 9.413
-2.755 1.590 9.413
0.000 -3.181 9.413
Ac Mg Hg
3 1 4
direct
0.000 0.000 0.000
0.242 0.242 0.242
0.758 0.758 0.758
0.500 0.500 0.500
0.126 0.126 0.126
0.377 0.377 0.377
0.623 0.623 0.623
0.874 0.874 0.874


Entry 2:
GGA-PBE Ac3Mg4Hg2, relaxed; calculated formation energy = -0.24 eV per atom; polymorph energy (0 for the lowest one) = 0.0 meV per atom; SG = C2/m; theoretical density = 7.20 g/cm3; total energy = -2.381 eV/atom; magnetic moment = 0.000 μB/cell
1.0
5.945 -2.631 0.000
5.945 2.631 0.000
-4.573 0.000 8.702
Ac Mg Hg
3 4 2
direct
0.000 0.000 0.000
0.325 0.325 0.345
0.675 0.675 0.655
0.033 0.033 0.367
0.281 0.281 0.946
0.719 0.719 0.054
0.967 0.967 0.633
0.405 0.405 0.736
0.595 0.595 0.264


Entry 3:
GGA-PBE Ac5MgHg6, relaxed; calculated formation energy = -0.44 eV per atom; SG = C2/m; theoretical density = 10.39 g/cm3; total energy = -2.434 eV/atom; magnetic moment = 0.001 μB/cell
1.0
4.864 -8.495 0.000
4.864 8.495 0.000
-3.173 0.000 4.570
Ac Mg Hg
5 1 6
direct
0.000 0.000 0.000
0.171 0.829 0.500
0.339 0.661 0.000
0.661 0.339 0.000
0.829 0.171 0.500
0.500 0.500 0.500
0.101 0.417 0.260
0.260 0.260 0.760
0.417 0.101 0.260
0.583 0.899 0.740
0.740 0.740 0.240
0.899 0.583 0.740


Entry 4:
GGA-PBE Ac2Mg2Hg, relaxed; calculated formation energy = -0.18 eV per atom; SG = C2/m; theoretical density = 7.29 g/cm3; total energy = -2.525 eV/atom; magnetic moment = 0.000 μB/cell
1.0
5.958 -2.648 0.000
5.958 2.648 0.000
-4.109 0.000 10.157
Ac Mg Hg
4 4 2
direct
0.025 0.025 0.341
0.178 0.178 0.085
0.822 0.822 0.915
0.975 0.975 0.659
0.356 0.356 0.432
0.492 0.492 0.132
0.508 0.508 0.868
0.644 0.644 0.568
0.267 0.267 0.667
0.733 0.733 0.333


Entry 5:
GGA-PBE Ac2Mg3Hg6, relaxed; calculated formation energy = -0.27 eV per atom; SG = Cmmm; theoretical density = 9.28 g/cm3; total energy = -1.613 eV/atom; magnetic moment = 0.000 μB/cell
1.0
5.635 -6.343 0.000
5.635 6.343 0.000
0.000 0.000 4.332
Ac Mg Hg
2 3 6
direct
0.197 0.197 0.000
0.803 0.803 0.000
0.286 0.714 0.000
0.500 0.500 0.500
0.714 0.286 0.000
0.127 0.873 0.500
0.166 0.495 0.500
0.495 0.166 0.500
0.505 0.834 0.500
0.834 0.505 0.500
0.873 0.127 0.500


Entry 6:
GGA-PBE Ac8MgHg2, relaxed; calculated formation energy = -0.13 eV per atom; SG = C2/m; theoretical density = 8.59 g/cm3; total energy = -3.318 eV/atom; magnetic moment = 0.000 μB/cell
1.0
10.066 -2.851 0.000
10.066 2.851 0.000
-2.326 0.000 7.550
Ac Mg Hg
8 1 2
direct
0.027 0.027 0.267
0.193 0.193 0.813
0.330 0.330 0.527
0.410 0.410 0.034
0.590 0.590 0.966
0.670 0.670 0.473
0.807 0.807 0.187
0.973 0.973 0.733
0.500 0.500 0.500
0.184 0.184 0.216
0.816 0.816 0.784


Entry 7:
GGA-PBE Ac5MgHg4, relaxed; calculated formation energy = -0.39 eV per atom; SG = P4/mmm; theoretical density = 9.75 g/cm3; total energy = -2.727 eV/atom; magnetic moment = 1.091 μB/cell
1.0
4.061 0.000 0.000
0.000 4.061 0.000
0.000 0.000 20.263
Ac Mg Hg
5 1 4
direct
0.000 0.000 0.000
0.000 0.000 0.198
0.000 0.000 0.398
0.000 0.000 0.602
0.000 0.000 0.802
0.500 0.500 0.500
0.500 0.500 0.099
0.500 0.500 0.301
0.500 0.500 0.699
0.500 0.500 0.901


Entry 8:
GGA-PBE AcMg2Hg5, relaxed; calculated formation energy = -0.25 eV per atom; SG = Immm; theoretical density = 10.23 g/cm3; total energy = -1.352 eV/atom; magnetic moment = 0.000 μB/cell
1.0
-2.154 3.888 6.195
2.154 -3.888 6.195
2.154 3.888 -6.195
Ac Mg Hg
1 2 5
direct
0.000 0.000 0.000
0.265 0.765 0.500
0.735 0.235 0.500
0.158 0.370 0.789
0.419 0.630 0.789
0.500 0.000 0.500
0.581 0.370 0.211
0.842 0.630 0.211


Entry 9:
GGA-PBE Ac6Mg3Hg, relaxed; calculated formation energy = -0.10 eV per atom; SG = P2_1/m; theoretical density = 7.42 g/cm3; total energy = -3.070 eV/atom; magnetic moment = 0.000 μB/cell
1.0
10.112 0.000 0.000
0.000 5.901 0.000
-4.430 0.000 12.269
Ac Mg Hg
12 6 2
direct
0.035 0.250 0.416
0.166 0.750 0.170
0.246 0.250 0.997
0.345 0.750 0.809
0.361 0.250 0.344
0.407 0.250 0.636
0.593 0.750 0.364
0.639 0.750 0.656
0.655 0.250 0.191
0.754 0.750 0.003
0.834 0.250 0.830
0.965 0.750 0.584
0.029 0.750 0.871
0.100 0.250 0.715
0.267 0.750 0.474
0.733 0.250 0.526
0.900 0.750 0.285
0.971 0.250 0.129
0.456 0.750 0.087
0.544 0.250 0.913


Entry 10:
GGA-PBE Ac2Mg3Hg2, relaxed; calculated formation energy = -0.31 eV per atom; SG = C2/m; theoretical density = 7.61 g/cm3; total energy = -2.257 eV/atom; magnetic moment = 0.000 μB/cell
1.0
5.766 -2.425 0.000
5.766 2.425 0.000
-3.241 0.000 7.237
Ac Mg Hg
2 3 2
direct
0.142 0.142 0.278
0.858 0.858 0.722
0.381 0.381 0.071
0.500 0.500 0.500
0.619 0.619 0.929
0.152 0.152 0.721
0.848 0.848 0.279


Entry 11:
GGA-PBE Ac3Mg4Hg4, relaxed; calculated formation energy = -0.37 eV per atom; polymorph energy (0 for the lowest one) = 0.0 meV per atom; SG = Immm; theoretical density = 8.44 g/cm3; total energy = -2.180 eV/atom; magnetic moment = 0.000 μB/cell
1.0
-2.358 4.113 8.013
2.358 -4.113 8.013
2.358 4.113 -8.013
Ac Mg Hg
3 4 4
direct
0.000 0.000 0.000
0.380 0.880 0.500
0.620 0.120 0.500
0.014 0.325 0.689
0.365 0.675 0.689
0.635 0.325 0.311
0.986 0.675 0.311
0.223 0.223 0.000
0.300 0.500 0.800
0.700 0.500 0.200
0.777 0.777 0.000


Entry 12:
GGA-PBE AcMg6Hg4, relaxed; calculated formation energy = -0.30 eV per atom; SG = P-6m2; theoretical density = 7.44 g/cm3; total energy = -1.651 eV/atom; magnetic moment = 0.000 μB/cell
1.0
8.119 0.000 0.000
-4.059 7.031 0.000
0.000 0.000 4.592
Ac Mg Hg
1 6 4
direct
0.000 0.000 0.000
0.206 0.412 0.500
0.206 0.794 0.500
0.534 0.067 0.000
0.534 0.466 0.000
0.588 0.794 0.500
0.933 0.466 0.000
0.333 0.667 0.000
0.392 0.196 0.500
0.804 0.196 0.500
0.804 0.608 0.500